# 1
First-principles (meta-GGA SCAN) data for a PBEsol-optimized structure of NaNb2NO, as listed in Alexandria via LeMat-Bulk.

Uncorrected formation energy: 430 meV/atom
N(E_F): 0.476 states/eV per atom
Calculated volume: 15.731 Å³ per atom

POSCAR file:
```
NaNb2NO
1.0
4.0049 0.0000 0.0000
0.0000 4.0049 0.0000
0.0000 0.0000 4.9040
Na Nb N O
1 2 1 1
Cartesian
0.0000 0.0000 0.0000
0.0000 2.0025 2.4520
2.0025 0.0000 2.4520
2.0025 2.0025 0.0000
2.0025 2.0025 2.4520
```

---

# 2
First-principles (meta-GGA SCAN) data for a PBEsol-optimized structure of NaNiN2, as listed in Alexandria via LeMat-Bulk.

Uncorrected formation energy: 1116 meV/atom
Energy above the lowest structure with this stoichiometry: 664 meV/atom
N(E_F): 0.249 states/eV per atom
Calculated volume: 8.666 Å³ per atom

POSCAR file:
```
NaNiN2
1.0
0.0000 2.5879 2.5879
2.5879 0.0000 2.5879
2.5879 2.5879 0.0000
Na Ni N
1 1 2
Cartesian
0.0000 0.0000 0.0000
2.5879 2.5879 2.5879
1.2939 1.2939 1.2939
3.8818 3.8818 3.8818
```

---

# 3
First-principles (meta-GGA SCAN) data for a PBEsol-optimized structure of NaNiN2, as listed in Alexandria via LeMat-Bulk.

Uncorrected formation energy: 453 meV/atom
Energy above the lowest structure with this stoichiometry: 0 meV/atom
N(E_F): 0.548 states/eV per atom
Calculated volume: 11.996 Å³ per atom

POSCAR file:
```
NaNiN2
1.0
-2.6619 2.6619 3.3861
2.6619 -2.6619 3.3861
2.6619 2.6619 -3.3861
Na Ni N
2 2 4
Cartesian
0.0000 0.0000 0.0000
0.0000 2.6619 1.6931
2.6619 0.0000 1.6931
0.0000 0.0000 3.3861
1.3309 -0.7948 2.5396
1.8671 1.3309 0.8465
1.3309 3.4567 -0.8465
0.7948 1.3309 4.2326
```

---

# 4
First-principles (meta-GGA SCAN) data for a PBEsol-optimized structure of NaNiN2O, as listed in Alexandria via LeMat-Bulk.

Uncorrected formation energy: 1992 meV/atom
N(E_F): 0.203 states/eV per atom
Calculated volume: 13.816 Å³ per atom

POSCAR file:
```
NaNiN2O
1.0
4.1571 0.0000 0.0000
0.0000 4.1571 0.0000
0.0000 0.0000 3.9973
Na Ni N O
1 1 2 1
Cartesian
0.0000 0.0000 0.0000
2.0785 2.0785 1.9987
0.0000 2.0785 0.0000
2.0785 0.0000 0.0000
0.0000 0.0000 1.9987
```

---

# 5
First-principles (meta-GGA SCAN) data for a PBEsol-optimized structure of NaNiNO2, as listed in Alexandria via LeMat-Bulk.

Uncorrected formation energy: 1393 meV/atom
N(E_F): 0.587 states/eV per atom
Calculated volume: 12.973 Å³ per atom

POSCAR file:
```
NaNiNO2
1.0
3.9757 0.0000 0.0000
0.0000 3.9757 0.0000
0.0000 0.0000 4.1038
Na Ni N O
1 1 1 2
Cartesian
0.0000 0.0000 0.0000
1.9878 1.9878 2.0519
0.0000 0.0000 2.0519
0.0000 1.9878 0.0000
1.9878 0.0000 0.0000
```

---

# 6
First-principles (meta-GGA SCAN) data for a PBEsol-optimized structure of NaReN2O, as listed in Alexandria via LeMat-Bulk.

Uncorrected formation energy: 2438 meV/atom
N(E_F): 0.385 states/eV per atom
Calculated volume: 11.387 Å³ per atom

POSCAR file:
```
NaReN2O
1.0
3.8971 0.0000 0.0000
0.0000 3.8971 0.0000
0.0000 0.0000 3.7489
Na Re N O
1 1 2 1
Cartesian
0.0000 0.0000 0.0000
1.9485 1.9485 1.8744
0.0000 1.9485 0.0000
1.9485 0.0000 0.0000
0.0000 0.0000 1.8744
```

---

# 7
First-principles (meta-GGA SCAN) data for a PBEsol-optimized structure of NaReNO2, as listed in Alexandria via LeMat-Bulk.

Uncorrected formation energy: -1191 meV/atom
N(E_F): 0.185 states/eV per atom
Calculated volume: 11.432 Å³ per atom

POSCAR file:
```
NaReNO2
1.0
3.8556 0.0000 0.0000
0.0000 3.8556 0.0000
0.0000 0.0000 3.8452
Na Re N O
1 1 1 2
Cartesian
0.0000 0.0000 0.0000
1.9278 1.9278 1.9226
1.9278 1.9278 0.0000
0.0000 1.9278 1.9226
1.9278 0.0000 1.9226
```

---

# 8
First-principles (meta-GGA SCAN) data for a PBEsol-optimized structure of NaSNO2, as listed in Alexandria via LeMat-Bulk.

Uncorrected formation energy: 51 meV/atom
N(E_F): 0.284 states/eV per atom
Calculated volume: 9.112 Å³ per atom

POSCAR file:
```
NaSNO2
1.0
3.7249 0.0000 0.0000
0.0000 3.7249 0.0000
0.0000 0.0000 3.2837
Na S N O
1 1 1 2
Cartesian
0.0000 0.0000 0.0000
1.8624 1.8624 1.6418
1.8624 1.8624 0.0000
0.0000 1.8624 1.6418
1.8624 0.0000 1.6418
```

---

# 9
First-principles (meta-GGA SCAN) data for a PBEsol-optimized structure of NaSN2O, as listed in Alexandria via LeMat-Bulk.

Uncorrected formation energy: 1693 meV/atom
N(E_F): 0.275 states/eV per atom
Calculated volume: 12.056 Å³ per atom

POSCAR file:
```
NaSN2O
1.0
3.9713 0.0000 0.0000
0.0000 3.9713 0.0000
0.0000 0.0000 3.8222
Na S N O
1 1 2 1
Cartesian
0.0000 0.0000 0.0000
1.9857 1.9857 0.0000
0.0000 1.9857 1.9111
1.9857 0.0000 1.9111
1.9857 1.9857 1.9111
```

---

# 10
First-principles (meta-GGA SCAN) data for a PBEsol-optimized structure of NaSe2NO, as listed in Alexandria via LeMat-Bulk.

Uncorrected formation energy: 757 meV/atom
N(E_F): 0.366 states/eV per atom
Calculated volume: 16.523 Å³ per atom

POSCAR file:
```
NaSe2NO
1.0
4.2993 0.0000 0.0000
0.0000 4.2993 0.0000
0.0000 0.0000 4.4696
Na Se N O
1 2 1 1
Cartesian
0.0000 0.0000 0.0000
0.0000 2.1497 2.2348
2.1497 0.0000 2.2348
2.1497 2.1497 0.0000
2.1497 2.1497 2.2348
```

---

# 11
First-principles (meta-GGA SCAN) data for a PBEsol-optimized structure of NaSeN2O, as listed in Alexandria via LeMat-Bulk.

Uncorrected formation energy: 2048 meV/atom
N(E_F): 0.469 states/eV per atom
Calculated volume: 14.250 Å³ per atom

POSCAR file:
```
NaSeN2O
1.0
4.2158 0.0000 0.0000
0.0000 4.2158 0.0000
0.0000 0.0000 4.0088
Na Se N O
1 1 2 1
Cartesian
0.0000 0.0000 0.0000
2.1079 2.1079 2.0044
0.0000 2.1079 0.0000
2.1079 0.0000 0.0000
0.0000 0.0000 2.0044
```

---

# 12
First-principles (meta-GGA SCAN) data for a PBEsol-optimized structure of NaSrNO2, as listed in Alexandria via LeMat-Bulk.

Uncorrected formation energy: -351 meV/atom
N(E_F): 0.292 states/eV per atom
Calculated volume: 14.793 Å³ per atom

POSCAR file:
```
NaSrNO2
1.0
4.2107 0.0000 0.0000
0.0000 4.2107 0.0000
0.0000 0.0000 4.1718
Na Sr N O
1 1 1 2
Cartesian
0.0000 0.0000 0.0000
2.1054 2.1054 2.0859
0.0000 0.0000 2.0859
0.0000 2.1054 0.0000
2.1054 0.0000 0.0000
```